Record 1
This record from Alexandria describes NiC after structural relaxation. The functional is PBE.

a b c (Å): 7.2894 7.2894 3.5481
angles (deg): 90.00 90.00 90.00
Atoms (fractional coordinates):
1 C 0.1888 0.3922 0.0000
2 C 0.6078 0.1888 0.0000
3 C 0.3112 0.1078 0.5000
4 C 0.8922 0.3112 0.5000
5 C 0.1078 0.6888 0.5000
6 C 0.6888 0.8922 0.5000
7 C 0.8112 0.6078 0.0000
8 C 0.3922 0.8112 0.0000
9 Ni 0.3090 0.8499 0.5000
10 Ni 0.6501 0.8090 0.0000
11 Ni 0.1501 0.3090 0.5000
12 Ni 0.8499 0.6910 0.5000
13 Ni 0.8090 0.3499 0.0000
14 Ni 0.1910 0.6501 0.0000
15 Ni 0.6910 0.1501 0.5000
16 Ni 0.3499 0.1910 0.0000

- space-group type = No. 87

***

Record 2
This record from Alexandria describes HfTlMo2W after structural relaxation. The functional is PBE.

a b c (Å): 4.8191 4.8762 4.8191
angles (deg): 90.00 90.00 90.00
Atoms (fractional coordinates):
1 Tl 0.5000 0.5000 0.5000
2 Hf 0.0000 0.0000 0.0000
3 W 0.0000 0.5000 0.0000
4 Mo 0.0000 0.0000 0.5000
5 Mo 0.5000 0.0000 0.0000

- space-group type = No. 123

***

Record 3
This record from Alexandria describes Ho7Sn2Au2 after structural relaxation. The functional is PBE.

a b c (Å): 6.9530 7.0183 6.9530
angles (deg): 90.00 106.08 90.00
Atoms (fractional coordinates):
1 Ho 0.9998 0.2616 0.5003
2 Ho 0.5002 0.7533 0.4998
3 Ho 0.0000 0.0000 0.0000
4 Ho 0.5003 0.7384 0.9998
5 Ho 0.4997 0.2616 0.0002
6 Ho 0.0002 0.7384 0.4997
7 Ho 0.4998 0.2467 0.5002
8 Sn 0.8208 0.5000 0.8208
9 Sn 0.1792 0.5000 0.1792
10 Au 0.2864 0.0000 0.7136
11 Au 0.7136 0.0000 0.2864

- space-group type = No. 65

***

How do the records compare in DFT formation energy? In the order shown, they have 956.8, 2059.8, -389.8 meV/atom.